[1]
DyHo6Tl6: relaxed, GGA-PBE.

a = 6.4116 Å, b = 6.4116 Å, c = 10.5096 Å
α = 90.00°, β = 90.00°, γ = 120.00°
Last column: nearest neighbours and their distance in Å.
Fractional positions:
Tl 0.5000 0.5000 0.7539  6 Ho 3.18-3.34, 4 Tl 3.21
Tl 0.5000 0.0000 0.7539  6 Ho 3.18-3.34, 4 Tl 3.21
Dy 0.0000 0.0000 0.0000  8 Ho 3.54-3.70
Tl 0.0000 0.5000 0.2461  6 Ho 3.18-3.34, 4 Tl 3.21
Tl 0.5000 0.0000 0.2461  6 Ho 3.18-3.34, 4 Tl 3.21
Ho 0.0000 0.0000 0.6633  6 Tl 3.34, 1 Ho 3.43, 1 Dy 3.54
Ho 0.3334 0.6666 0.5000  6 Tl 3.25
Ho 0.6666 0.3334 0.5000  6 Tl 3.25
Ho 0.0000 0.0000 0.3367  6 Tl 3.34, 1 Ho 3.43, 1 Dy 3.54
Tl 0.0000 0.5000 0.7539  6 Ho 3.18-3.34, 4 Tl 3.21
Ho 0.6667 0.3333 0.0000  6 Tl 3.18
Tl 0.5000 0.5000 0.2461  6 Ho 3.18-3.34, 4 Tl 3.21
Ho 0.3333 0.6667 0.0000  6 Tl 3.18

Values from the calculation:
The formation energy is -0.16 eV/atom. The raw total energy comes out at -3.723 eV/atom.

[2]
Dy2HoTl3: relaxed, GGA-PBE.

a = 3.6591 Å, b = 3.6591 Å, c = 12.2285 Å
α = 90.00°, β = 90.00°, γ = 90.00°
Last column: nearest neighbours and their distance in Å.
Fractional positions:
Dy 0.5000 0.5000 0.8330  8 Tl 3.30, 4 Dy 3.66
Tl 0.0000 0.0000 0.0000  8 Dy 3.30, 4 Tl 3.66
Tl 0.0000 0.0000 0.6658  4 Ho 3.29, 4 Dy 3.30, 4 Tl 3.66
Ho 0.5000 0.5000 0.5000  8 Tl 3.29, 4 Ho 3.66
Dy 0.5000 0.5000 0.1670  8 Tl 3.30, 4 Dy 3.66
Tl 0.0000 0.0000 0.3342  4 Ho 3.29, 4 Dy 3.30, 4 Tl 3.66

Values from the calculation:
The formation energy is -0.34 eV/atom. The raw total energy comes out at -3.821 eV/atom.

[3]
Dy3Ho4Tl: relaxed, GGA-PBE.

a = 3.5563 Å, b = 3.5563 Å, c = 19.2093 Å
α = 90.00°, β = 90.00°, γ = 90.00°
Last column: nearest neighbours and their distance in Å.
Fractional positions:
Dy 0.5000 0.5000 0.5000  8 Ho 3.54, 4 Dy 3.56
Ho 0.0000 0.0000 0.1113  4 Tl 3.30, 4 Dy 3.53, 4 Ho 3.56
Dy 0.5000 0.5000 0.2402  8 Ho 3.53-3.55, 4 Dy 3.56
Ho 0.0000 0.0000 0.8887  4 Tl 3.30, 4 Dy 3.53, 4 Ho 3.56
Ho 0.0000 0.0000 0.3704  8 Dy 3.54-3.55, 4 Ho 3.56
Ho 0.0000 0.0000 0.6296  8 Dy 3.54-3.55, 4 Ho 3.56
Dy 0.5000 0.5000 0.7598  8 Ho 3.53-3.55, 4 Dy 3.56
Tl 0.5000 0.5000 0.0000  8 Ho 3.30, 4 Tl 3.56

Values from the calculation:
The formation energy is -0.07 eV/atom. The raw total energy comes out at -4.383 eV/atom.

[4]
Dy4Ho5Tl2: relaxed, GGA-PBE.

a = 5.2089 Å, b = 5.2089 Å, c = 15.8647 Å
α = 80.55°, β = 80.55°, γ = 60.00°
Last column: nearest neighbours and their distance in Å.
Fractional positions:
Tl 0.1195 0.1195 0.6415  3 Ho 3.09, 3 Dy 3.25
Ho 0.3519 0.3519 0.9443  3 Ho 3.47, 5 Dy 3.50-3.60
Dy 0.5733 0.5733 0.2801  3 Tl 3.25, 3 Dy 3.42, 5 Ho 3.43-3.58
Dy 0.2749 0.2749 0.1753  3 Dy 3.42, 5 Ho 3.54-3.60
Ho 0.5000 0.5000 0.5000  6 Ho 3.35, 2 Dy 3.43, 6 Tl 3.73
Dy 0.4267 0.4267 0.7199  3 Tl 3.25, 3 Dy 3.42, 5 Ho 3.43-3.58
Ho 0.6481 0.6481 0.0557  3 Ho 3.47, 5 Dy 3.50-3.60
Ho 0.8016 0.8016 0.5952  3 Tl 3.09, 3 Ho 3.35
Ho 0.1984 0.1984 0.4048  3 Tl 3.09, 3 Ho 3.35
Tl 0.8805 0.8805 0.3585  3 Ho 3.09, 3 Dy 3.25
Dy 0.7251 0.7251 0.8247  3 Dy 3.42, 5 Ho 3.54-3.60

Values from the calculation:
The formation energy is 0.26 eV/atom. The raw total energy comes out at -3.928 eV/atom.